! Cr2Si2W (PBE, optimized geometry); values from VASP
&SYSTEM
  ibrav = 0, nat = 5, ntyp = 3
/
ATOMIC_SPECIES
Cr 52.00 Cr.upf
Si 28.09 Si.upf
W 183.84 W.upf
ATOMIC_POSITIONS crystal
Cr 0.250 0.750 0.500
Cr 0.750 0.250 0.500
Si 0.105 0.105 0.000
Si 0.895 0.895 0.000
W 0.500 0.500 0.000
CELL_PARAMETERS angstrom
-1.769 1.769 5.378
1.769 -1.769 5.378
1.769 1.769 -5.378
! - space-group type = No. 139

! CrSi3W (PBE, optimized geometry); values from VASP
&SYSTEM
  ibrav = 0, nat = 5, ntyp = 3
/
ATOMIC_SPECIES
Cr 52.00 Cr.upf
Si 28.09 Si.upf
W 183.84 W.upf
ATOMIC_POSITIONS crystal
Cr 0.000 0.000 0.000
Si 0.000 0.000 0.500
Si 0.000 0.500 0.000
Si 0.500 0.000 0.000
W 0.500 0.500 0.500
CELL_PARAMETERS angstrom
4.363 0.000 0.000
0.000 4.363 0.000
0.000 0.000 4.363
! - space-group type = No. 221

! YCr2Si2 (PBE, optimized geometry); values from VASP
&SYSTEM
  ibrav = 0, nat = 10, ntyp = 3
/
ATOMIC_SPECIES
Y 88.91 Y.upf
Cr 52.00 Cr.upf
Si 28.09 Si.upf
ATOMIC_POSITIONS crystal
Y 0.000 0.000 0.000
Y 0.500 0.500 0.000
Cr 0.154 0.346 0.500
Cr 0.346 0.846 0.500
Cr 0.654 0.154 0.500
Cr 0.846 0.654 0.500
Si 0.128 0.628 0.000
Si 0.372 0.128 0.000
Si 0.628 0.872 0.000
Si 0.872 0.372 0.000
CELL_PARAMETERS angstrom
7.146 0.000 0.000
0.000 7.146 0.000
0.000 0.000 3.002
! - space-group type = No. 127

Number 1: total energy -8.4022 eV/atom, spin magnetization 1.878 μB/cell. Number 2: total energy -6.6017 eV/atom, spin magnetization 3.046 μB/cell. Number 3: total energy -7.4258 eV/atom, spin magnetization 4.625 μB/cell.